[1]
Compound: SrFeSi2Os
Source: Alexandria via LeMat-Bulk
Functional: PBE-GGA
Structure: relaxed

Summary:
E_tot: -27.38 eV per cell
Formation energy from raw total energies: 0.97 eV per atom
Density: 6.54 g/cm3
Spin magnetization: 2.072 μB per formula unit

CIF file:
```
data_SrFeSi2Os
_space_group_name_H-M_alt 'P 4/m m m'
_space_group_IT_number 123
_space_group_name_Hall '-P 4 2'
_cell_length_a 4.372
_cell_length_b 4.372
_cell_length_c 5.175
_cell_angle_alpha 90.00
_cell_angle_beta 90.00
_cell_angle_gamma 90.00
loop_
_atom_site_label
_atom_site_fract_x
_atom_site_fract_y
_atom_site_fract_z
Sr1 0.000 0.000 0.000
Fe1 0.000 0.000 0.500
Si1 0.000 0.500 0.500
Os1 0.500 0.500 0.000
```

[2]
Compound: TbFeSi3Os
Source: Alexandria via LeMat-Bulk
Functional: PBE-GGA
Structure: relaxed

Summary:
E_tot: -170.07 eV per cell
Formation energy from raw total energies: -0.32 eV per atom
Density: 7.59 g/cm3
Spin magnetization: 0.000 μB per formula unit

CIF file:
```
data_TbFeSi3Os
_space_group_name_H-M_alt 'C m c m'
_space_group_IT_number 63
_space_group_name_Hall '-C 2c 2'
_cell_length_a 7.427
_cell_length_b 10.710
_cell_length_c 5.385
_cell_angle_alpha 90.00
_cell_angle_beta 90.00
_cell_angle_gamma 90.00
loop_
_atom_site_label
_atom_site_fract_x
_atom_site_fract_y
_atom_site_fract_z
Tb1 0.000 0.244 0.250
Fe1 0.000 0.044 0.750
Si1 0.000 0.237 0.750
Si2 0.239 0.000 0.000
Os1 0.000 0.445 0.750
```

[3]
Compound: ThFeSi2Os
Source: Alexandria via LeMat-Bulk
Functional: PBE-GGA
Structure: relaxed

Summary:
E_tot: -83.14 eV per cell
Formation energy from raw total energies: -0.72 eV per atom
Density: 10.60 g/cm3
Spin magnetization: 0.001 μB per formula unit

CIF file:
```
data_ThFeSi2Os
_space_group_name_H-M_alt 'I -4 m 2'
_space_group_IT_number 119
_space_group_name_Hall 'I -4 -2'
_cell_length_a 4.136
_cell_length_b 4.136
_cell_length_c 9.789
_cell_angle_alpha 90.00
_cell_angle_beta 90.00
_cell_angle_gamma 90.00
loop_
_atom_site_label
_atom_site_fract_x
_atom_site_fract_y
_atom_site_fract_z
Th1 0.000 0.000 0.000
Fe1 0.000 0.500 0.750
Si1 0.000 0.000 0.368
Os1 0.000 0.500 0.250
```

- What is the density in the first record?
  6.54 g/cm3

- What is the formula in the third record?
  ThFeSi2Os